Density functional theory data (PBE) for a relaxed Ce5SmPb6 crystal.

Properties
Total energy   -0.1885 Ha/atom
Crystal system   monoclinic
V   29.64 Å³/atom
ρ   9.8 g/cm3
SG   C2/m (12)
Calculated formation energy   -476 kJ/mol of formula units
DOS at the Fermi energy   2.585 states/eV per atom
Magnetization   5.94 μB/cell

Lattice parameters (Å, degrees): 9.999 9.999 5.958 107.28 107.28 38.99
Sites, in units of the cell vectors:
Ce 0.000 0.000 0.000
Ce 0.167 0.167 0.667
Ce 0.335 0.335 0.335
Ce 0.665 0.665 0.665
Ce 0.833 0.833 0.333
Sm 0.500 0.500 0.000
Pb 0.084 0.583 0.833
Pb 0.250 0.750 0.500
Pb 0.417 0.916 0.167
Pb 0.583 0.084 0.833
Pb 0.750 0.250 0.500
Pb 0.916 0.417 0.167